1.
## Nd12Tm3Tl (PBE)

Data for a relaxed structure of Nd12Tm3Tl.

## Properties
Space-group type = P4/mmm

Structure (extended XYZ):
```
16
Lattice="-2.865 3.776 1.836 -1.902 -3.148 3.508 15.168 5.228 12.917" Properties=species:S:1:pos:R:3 pbc="T T T"
Nd -2.383 0.314 2.672
Nd 1.377 1.610 5.874
Nd 5.201 2.928 9.130
Nd 9.025 4.246 12.387
Nd 0.424 2.528 2.498
Nd 4.242 3.844 5.750
Nd 8.062 5.160 9.003
Nd 11.880 6.476 12.255
Nd 0.905 -0.934 3.334
Nd 4.723 0.381 6.586
Nd 8.543 1.698 9.839
Nd 12.361 3.014 13.091
Tm 3.775 1.301 3.215
Tm 7.584 2.614 6.459
Tm 11.393 3.927 9.702
Tl 0.000 0.000 0.000
```

---

2.
## NdTm4Tl2 (PBE)

Data for a relaxed structure of NdTm4Tl2.

## Properties
Space-group type = P4_2/mnm

Structure (extended XYZ):
```
14
Lattice="-3.241 0.391 -3.751 3.772 -7.444 -4.034 -5.932 -5.475 4.555" Properties=species:S:1:pos:R:3 pbc="T T T"
Nd -1.620 0.195 -1.876
Nd -1.080 -6.459 0.260
Tm -1.719 -2.735 1.200
Tm -0.441 -10.183 -0.680
Tm -4.670 -4.185 0.303
Tm -0.731 -8.343 -3.533
Tm -5.213 -7.433 0.434
Tm -0.188 -5.094 -3.664
Tm 0.721 -3.231 -0.960
Tm -2.881 -9.688 1.480
Tl -4.074 -5.852 2.910
Tl 1.913 -7.066 -2.389
Tl -3.114 -8.738 -1.516
Tl -2.287 -3.790 -1.715
```

---

3.
## Nd4TmTl3 (PBE)

Data for a relaxed structure of Nd4TmTl3.

## Properties
Relative energy among the computed polymorphs = 0.00 eV/f.u.
Space-group type = R-3m

Structure (extended XYZ):
```
8
Lattice="-1.540 2.536 -4.656 2.022 -1.678 -4.856 -6.932 -5.665 -4.067" Properties=species:S:1:pos:R:3 pbc="T T T"
Tl -1.339 -0.972 -3.360
Tl -5.111 -3.835 -10.219
Tl -3.225 -2.403 -6.789
Tm 0.000 0.000 0.000
Nd -2.305 -1.480 -9.864
Nd -5.683 -4.465 -7.100
Nd -4.145 -3.327 -3.715
Nd -0.767 -0.341 -6.479
```

---

4.
## Nd2Tm2Tl (PBE)

Data for a relaxed structure of Nd2Tm2Tl.

## Properties
Relative energy among the computed polymorphs = 0.00 eV/f.u.
Space-group type = C2/m

Structure (extended XYZ):
```
10
Lattice="8.552 0.000 0.550 4.276 4.742 0.275 4.233 0.000 7.961" Properties=species:S:1:pos:R:3 pbc="T T T"
Nd 10.447 1.773 6.139
Nd 6.615 2.968 2.647
Nd 6.170 2.968 5.864
Nd 10.891 1.773 2.922
Tm 7.989 0.000 3.880
Tm 5.709 0.000 1.221
Tm 7.076 0.000 7.290
Tm 4.796 0.000 4.631
Tl 4.276 3.128 0.275
Tl 8.552 1.614 0.550
```

---

5.
## NdTm4Tl5 (PBE)

Data for a relaxed structure of NdTm4Tl5.

## Properties
Space-group type = P4/mmm

Structure (extended XYZ):
```
10
Lattice="-3.217 0.157 -1.863 -0.985 -3.293 1.424 -8.366 9.081 15.214" Properties=species:S:1:pos:R:3 pbc="T T T"
Nd 0.000 0.000 0.000
Tm -1.730 1.878 3.147
Tm -3.367 3.655 6.123
Tm -4.999 5.426 9.091
Tm -6.635 7.203 12.067
Tl -3.016 -0.574 1.445
Tl -4.657 1.207 4.429
Tl -6.284 2.973 7.388
Tl -7.911 4.739 10.346
Tl -9.552 6.520 13.330
```

---

6.
## Nd3TmTl4 (PBE)

Data for a relaxed structure of Nd3TmTl4.

## Properties
Relative energy among the computed polymorphs = 0.00 eV/f.u.
Space-group type = P4/mmm

Structure (extended XYZ):
```
8
Lattice="3.828 0.000 0.000 0.000 3.828 0.000 0.000 0.000 15.785" Properties=species:S:1:pos:R:3 pbc="T T T"
Tl 0.000 0.000 13.996
Tl 0.000 0.000 1.789
Tl 0.000 0.000 5.855
Tl 0.000 0.000 9.930
Tm 1.914 1.914 0.000
Nd 1.914 1.914 3.831
Nd 1.914 1.914 7.893
Nd 1.914 1.914 11.954
```

---

7.
## Nd11Tm9Tl4 (PBE)

Data for a relaxed structure of Nd11Tm9Tl4.

## Properties
Space-group type = Cmmm

Structure (extended XYZ):
```
24
Lattice="4.810 0.000 0.000 0.000 12.126 -5.094 0.000 0.081 13.152" Properties=species:S:1:pos:R:3 pbc="T T T"
Nd 0.000 7.237 9.271
Nd 0.000 4.970 -1.213
Nd 0.000 11.369 3.012
Nd 0.000 0.838 5.046
Nd 0.000 7.872 1.350
Nd 0.000 4.335 6.708
Nd 0.000 10.120 -2.055
Nd 0.000 2.087 10.113
Nd 0.000 0.000 0.000
Nd 0.000 8.778 5.794
Nd 0.000 3.429 2.264
Tm 2.405 7.566 -1.463
Tm 2.405 4.641 9.521
Tm 2.405 1.628 7.532
Tm 2.405 10.579 0.526
Tm 2.405 9.707 8.568
Tm 2.405 2.500 -0.510
Tm 2.405 11.693 5.559
Tm 2.405 0.514 2.499
Tm 2.405 6.103 4.029
Tl 2.405 6.754 7.067
Tl 2.405 5.452 0.991
Tl 2.405 9.153 3.434
Tl 2.405 3.054 4.624
```

---

8.
## NdTm5Tl4 (PBE)

Data for a relaxed structure of NdTm5Tl4.

## Properties
Space-group type = P4/mmm

Structure (extended XYZ):
```
10
Lattice="3.582 0.000 0.000 0.000 3.582 0.000 0.000 0.000 21.688" Properties=species:S:1:pos:R:3 pbc="T T T"
Nd 0.000 0.000 0.000
Tm 1.791 1.791 2.545
Tm 1.791 1.791 6.681
Tm 1.791 1.791 10.844
Tm 1.791 1.791 15.006
Tm 1.791 1.791 19.142
Tl 0.000 0.000 4.615
Tl 0.000 0.000 8.768
Tl 0.000 0.000 12.920
Tl 0.000 0.000 17.073
```

---

Computed E_form (meV/atom) in order:
-34, -121, -239, -36, -315, -373, -76, -243
Computed total magnetic moment (μB per formula unit) in order:
0.00, 0.00, 1.24, 0.00, 0.00, 0.00, 0.00, 0.17
Computed density of states at the Fermi level (states/eV per cell) in order:
21.430, 18.397, 10.178, 10.853, 7.752, 5.534, 30.575, 8.687